Sm2C2F: relaxed, PBE-GGA.

Unit cell a=13.2049 b=4.3215 c=6.5128 alpha=90.00 beta=108.96 gamma=90.00
Closest atoms and distances in Å follow each position.
Space group C2/c (No. 15)
Inequivalent atoms, fractional coordinates:
Sm: 0.1429 0.1765 0.1096 x8  4 C 2.37-2.64, 2 F 2.54-2.55
C: 0.2209 0.3760 0.5139 x8  1 C 1.38
F: 0.0000 0.0459 0.7500 x4  4 Sm 2.54-2.55

Summary:
* final energy: -7.2055 eV/atom
* crystal system: monoclinic
* raw formation energy: -1.254 eV per atom
* size of the total moment: 0.00 μB/atom